# 1
VASP calculation (GGA-PBE) on a relaxed Zr6Tl2Ag crystal.

Cell lengths 9.510, 9.510, 4.478 Å; angles 90.00, 90.00, 90.00 degrees
Fractional positions:
Zr: 0.004 0.331 0.000
Zr: 0.153 0.847 0.500
Zr: 0.169 0.504 0.500
Zr: 0.331 0.004 0.000
Zr: 0.347 0.347 0.000
Zr: 0.496 0.831 0.500
Zr: 0.504 0.169 0.500
Zr: 0.653 0.653 0.000
Zr: 0.669 0.996 0.000
Zr: 0.831 0.496 0.500
Zr: 0.847 0.153 0.500
Zr: 0.996 0.669 0.000
Tl: 0.177 0.177 0.500
Tl: 0.323 0.677 0.000
Tl: 0.677 0.323 0.000
Tl: 0.823 0.823 0.500
Ag: 0.000 0.000 0.000
Ag: 0.500 0.500 0.500

## Properties
ΔH_f (0 K) ... -53.7 meV/atom
Crystal system ... tetragonal

=====

# 2
VASP calculation (GGA-PBE) on a relaxed MnCr2Ag crystal.

Cell lengths 2.628, 2.628, 8.450 Å; angles 90.00, 90.00, 111.76 degrees
Fractional positions:
Mn: 0.000 0.000 0.000
Cr: 0.000 0.000 0.440
Cr: 0.500 0.500 0.227
Ag: 0.500 0.500 0.721

## Properties
ΔH_f (0 K) ... 354.4 meV/atom
Crystal system ... orthorhombic
Energy above the lowest structure with this stoichiometry ... 0.058 eV per atom